1.
The following is a DFT calculation (meta-GGA SCAN) of a PBEsol-optimized structure of TeP2Cl.

Raw formation energy: 0.638 eV/atom

a = 4.7697 Å, b = 4.7697 Å, c = 4.7697 Å
α = 109.16°, β = 109.16°, γ = 110.10°
Last column: nearest neighbours and their distance in Å.
Fractional coordinates of all 4 atoms:
Te  0.0000  0.0000  0.0000  2 Cl 2.73, 4 P 2.76
P  0.0000  0.5000  0.5000  2 P 2.73, 2 Cl 2.76, 2 Te 2.76
P  0.5000  0.0000  0.5000  2 P 2.73, 2 Cl 2.76, 2 Te 2.76
Cl  0.5000  0.5000  0.0000  2 Te 2.73, 4 P 2.76

---

2.
The following is a DFT calculation (meta-GGA SCAN) of a PBEsol-optimized structure of Cu2NiHgI.

Raw formation energy: 1.014 eV/atom

a = 4.8956 Å, b = 4.8956 Å, c = 4.5782 Å
α = 90.00°, β = 90.00°, γ = 90.00°
Last column: nearest neighbours and their distance in Å.
Fractional coordinates of all 5 atoms:
Cu  0.0000  0.5000  0.0000  2 I 2.45
Cu  0.5000  0.0000  0.0000  2 I 2.45
Ni  0.0000  0.0000  0.5000  2 I 2.29
Hg  0.5000  0.5000  0.5000  8 Cu 3.35, 4 Ni 3.46
I  0.0000  0.0000  0.0000  2 Ni 2.29, 4 Cu 2.45

---

3.
The following is a DFT calculation (meta-GGA SCAN) of a PBEsol-optimized structure of KDyP4O12.

Raw formation energy: -2.734 eV/atom

a = 10.2809 Å, b = 8.8869 Å, c = 12.6896 Å
α = 90.00°, β = 125.03°, γ = 90.00°
Last column: nearest neighbours and their distance in Å.
Fractional coordinates of all 72 atoms:
K  0.2488  0.0645  0.4585  4 O 2.73-3.00
K  0.2488  0.4355  0.9585  4 O 2.73-3.00
K  0.7512  0.5645  0.0415  4 O 2.73-3.00
K  0.7512  0.9355  0.5415  4 O 2.73-3.00
Dy  0.1857  0.7284  0.6848  8 O 2.26-2.42
Dy  0.1857  0.7716  0.1848  8 O 2.26-2.42
Dy  0.8143  0.2284  0.8152  8 O 2.26-2.42
Dy  0.8143  0.2716  0.3152  8 O 2.26-2.42
P  0.1099  0.0940  0.7586  4 O 1.49-1.61
P  0.1099  0.4060  0.2586  4 O 1.49-1.61
P  0.1768  0.1690  0.1365  4 O 1.49-1.62
P  0.1768  0.3310  0.6365  4 O 1.49-1.62
P  0.3021  0.6096  0.4784  4 O 1.49-1.61
P  0.3021  0.8904  0.9784  4 O 1.49-1.61
P  0.4799  0.0217  0.2277  4 O 1.49-1.62
P  0.4799  0.4783  0.7277  4 O 1.49-1.62
P  0.5201  0.5217  0.2723  4 O 1.49-1.62
P  0.5201  0.9783  0.7723  4 O 1.49-1.62
P  0.6979  0.1096  0.0216  4 O 1.49-1.61
P  0.6979  0.3904  0.5216  4 O 1.49-1.61
P  0.8232  0.6690  0.3635  4 O 1.49-1.62
P  0.8232  0.8310  0.8635  4 O 1.49-1.62
P  0.8901  0.5940  0.7414  4 O 1.49-1.61
P  0.8901  0.9060  0.2414  4 O 1.49-1.61
O  0.0260  0.6796  0.7584  1 P 1.49
O  0.0260  0.8204  0.2584  1 P 1.49
O  0.0722  0.2409  0.0071  1 P 1.49
O  0.0722  0.2591  0.5071  1 P 1.49
O  0.0732  0.5399  0.1741  1 P 1.50
O  0.0732  0.9601  0.6741  1 P 1.50
O  0.1320  0.0258  0.1700  1 P 1.50
O  0.1320  0.4742  0.6700  1 P 1.50
O  0.2009  0.6665  0.5193  1 P 1.49
O  0.2009  0.8335  0.0193  1 P 1.49
O  0.2223  0.2110  0.7484  2 P 1.61-1.62
O  0.2223  0.2890  0.2484  2 P 1.61-1.62
O  0.2330  0.0499  0.9064  2 P 1.60-1.61
O  0.2330  0.4501  0.4064  2 P 1.60-1.61
O  0.3371  0.7105  0.4032  1 P 1.50
O  0.3371  0.7895  0.9032  1 P 1.50
O  0.3498  0.1552  0.1630  2 P 1.61-1.62
O  0.3498  0.3448  0.6630  2 P 1.61-1.62
O  0.3583  0.5900  0.1887  1 P 1.49
O  0.3583  0.9100  0.6887  1 P 1.49
O  0.4330  0.5903  0.7889  1 P 1.50
O  0.4330  0.9097  0.2889  1 P 1.50
O  0.4665  0.5496  0.6045  2 P 1.61-1.62
O  0.4665  0.9504  0.1045  2 P 1.61-1.62
O  0.5335  0.0496  0.8955  2 P 1.61-1.62
O  0.5335  0.4504  0.3955  2 P 1.61-1.62
O  0.5670  0.0903  0.7111  1 P 1.50
O  0.5670  0.4097  0.2111  1 P 1.50
O  0.6417  0.0900  0.3113  1 P 1.49
O  0.6417  0.4100  0.8113  1 P 1.49
O  0.6502  0.6552  0.3370  2 P 1.61-1.62
O  0.6502  0.8448  0.8370  2 P 1.61-1.62
O  0.6629  0.2105  0.0968  1 P 1.50
O  0.6629  0.2895  0.5968  1 P 1.50
O  0.7670  0.5499  0.5936  2 P 1.60-1.61
O  0.7670  0.9501  0.0936  2 P 1.60-1.61
O  0.7777  0.7110  0.7516  2 P 1.61-1.62
O  0.7777  0.7890  0.2516  2 P 1.61-1.62
O  0.7991  0.1665  0.9807  1 P 1.49
O  0.7991  0.3335  0.4807  1 P 1.49
O  0.8680  0.5258  0.3300  1 P 1.50
O  0.8680  0.9742  0.8300  1 P 1.50
O  0.9268  0.0399  0.3259  1 P 1.50
O  0.9268  0.4601  0.8259  1 P 1.50
O  0.9278  0.7409  0.4929  1 P 1.49
O  0.9278  0.7591  0.9929  1 P 1.49
O  0.9740  0.1796  0.7416  1 P 1.49
O  0.9740  0.3204  0.2416  1 P 1.49

---

4.
The following is a DFT calculation (meta-GGA SCAN) of a PBEsol-optimized structure of Re3HI.

Uncorrected energy: -49.205 eV per atom

a = 4.0664 Å, b = 4.0664 Å, c = 4.0664 Å
α = 90.00°, β = 90.00°, γ = 90.00°
Last column: nearest neighbours and their distance in Å.
Fractional coordinates of all 5 atoms:
Re  0.0000  0.0000  0.5000  2 H 2.03
Re  0.0000  0.5000  0.0000  2 H 2.03
Re  0.5000  0.0000  0.0000  2 H 2.03
H  0.0000  0.0000  0.0000  6 Re 2.03
I  0.5000  0.5000  0.5000  12 Re 2.88

---

5.
The following is a DFT calculation (meta-GGA SCAN) of a PBEsol-optimized structure of Mg2CrAgC.

ΔE_f: 0.90 eV per atom

a = 5.1025 Å, b = 5.1025 Å, c = 3.6769 Å
α = 90.00°, β = 90.00°, γ = 90.00°
Last column: nearest neighbours and their distance in Å.
Fractional coordinates of all 5 atoms:
Mg  0.0000  0.5000  0.0000  2 Cr 2.55
Mg  0.5000  0.0000  0.0000  2 Cr 2.55
Cr  0.0000  0.0000  0.0000  2 C 1.84
Ag  0.5000  0.5000  0.5000  8 Mg 3.14
C  0.0000  0.0000  0.5000  2 Cr 1.84

---

6.
The following is a DFT calculation (meta-GGA SCAN) of a PBEsol-optimized structure of MgFe.

ΔE_f: 0.13 eV per atom

a = 5.4320 Å, b = 5.4320 Å, c = 6.0783 Å
α = 106.12°, β = 106.12°, γ = 32.54°
Last column: nearest neighbours and their distance in Å.
Fractional coordinates of all 6 atoms:
Mg  0.0000  0.0000  0.0000  6 Fe 2.67-2.78, 3 Mg 2.90-2.93
Mg  0.0206  0.0206  0.4867  6 Fe 2.87-2.95, 7 Mg 2.90-3.19
Mg  0.3107  0.3107  0.6360  4 Fe 2.65-2.70, 3 Mg 2.90-2.93
Fe  0.3190  0.3190  0.1511  4 Fe 2.33-2.36
Fe  0.6880  0.6880  0.2798  3 Fe 2.33-2.42
Fe  0.6881  0.6881  0.8815  3 Fe 2.36-2.42